Entry from Alexandria: a relaxed structure of AcHg2AsPd2 (PBE).

abc: 5.237 5.237 6.795
angles: 112.67 112.67 90.00
Sites, in units of the cell vectors:
As: 0.000 0.000 0.000
Hg: 0.250 0.750 0.500
Pd: 0.212 0.212 0.423
Hg: 0.750 0.250 0.500
Pd: 0.788 0.788 0.577
Ac: 0.500 0.500 0.000

Calculated values
Its space-group type is I4/mmm, No. 139. The value obtained for the formation energy from the elements is -320.3 meV per atom. As for the mass density: 9.73 g/cm³.